A geometry-optimized AcPuCuRh structure. Source: Alexandria, functional PBE.

abc: 5.1055 5.1055 5.1055
angles: 60.00 60.00 60.00
Atoms (fractional coordinates):
Ac 0.0000 0.0000 0.0000
Pu 0.5000 0.5000 0.5000
Cu 0.2500 0.2500 0.2500
Rh 0.7500 0.7500 0.7500

## Properties
**Total magnetization**: 5.8 Bohr magnetons per cell
**E_form**: -187 meV per atom
**Total DFT energy (no corrections)**: -30.64 eV per formula unit